No. 1
Here is Sc2BiP2 at its PBEsol-relaxed geometry from the Alexandria database. Energies are from meta-GGA SCAN.

a = 4.8989 Å, b = 5.4617 Å, c = 4.8989 Å
α = 63.35°, β = 90.00°, γ = 116.65°
Closest atoms and distances in Å follow each position.
Atoms (fractional coordinates):
Sc 0.7500 0.5000 0.7500  4 P 2.64
Sc 0.2500 0.5000 0.2500  4 P 2.64
P 0.6329 0.2658 0.3671  1 P 2.24
P 0.3671 0.7342 0.6329  1 P 2.24
Bi 0.0000 0.0000 0.0000  2 P 3.10, 8 Sc 3.23

Summary:
Space-group type: No. 139
Formation energy from the elements (eV per atom): -0.9181

=====

No. 2
Here is Zn2IrSe at its PBEsol-relaxed geometry from the Alexandria database. Energies are from meta-GGA SCAN.

a = 3.0562 Å, b = 3.6653 Å, c = 5.4094 Å
α = 90.00°, β = 90.00°, γ = 90.00°
Closest atoms and distances in Å follow each position.
Atoms (fractional coordinates):
Zn 0.0000 0.0000 0.0066  1 Ir 2.53, 4 Se 2.75, 4 Zn 2.77
Zn 0.5000 0.5000 0.2655  2 Se 2.64-2.77, 4 Ir 2.64, 4 Zn 2.77
Se 0.5000 0.5000 0.7528  6 Zn 2.64-2.77, 4 Ir 2.82
Ir 0.0000 0.0000 0.4751  5 Zn 2.53-2.64, 4 Se 2.82

Summary:
Energy relative to the elements, uncorrected (kJ/mol of formula units): 69
Space-group type: No. 25

=====

No. 3
Here is KZrPb2 at its PBEsol-relaxed geometry from the Alexandria database. Energies are from meta-GGA SCAN.

a = 3.2893 Å, b = 3.2893 Å, c = 11.2793 Å
α = 90.00°, β = 90.00°, γ = 102.96°
Closest atoms and distances in Å follow each position.
Atoms (fractional coordinates):
Pb 0.5000 0.5000 0.7378  2 Zr 3.02, 6 Pb 3.29-3.35
Pb 0.0000 0.0000 0.9724  6 Pb 3.29-3.35
Zr 0.0000 0.0000 0.5411  2 Pb 3.02, 4 Zr 3.29
K 0.5000 0.5000 0.2487  4 K 3.29

Summary:
Space-group type: No. 35
Polymorph energy (0 for the lowest one) (meV per atom): 570.1
Formation energy from the elements (eV per atom): 0.2522

=====

No. 4
Here is LaYCd4 at its PBEsol-relaxed geometry from the Alexandria database. Energies are from meta-GGA SCAN.

a = 5.8772 Å, b = 5.8772 Å, c = 5.8772 Å
α = 60.00°, β = 60.00°, γ = 60.00°
Closest atoms and distances in Å follow each position.
Atoms (fractional coordinates):
Y 0.0000 0.0000 0.0000  12 Cd 3.45, 4 La 3.60
Cd 0.3748 0.3748 0.8755  6 Cd 2.93-2.94
Cd 0.3748 0.3748 0.3748  6 Cd 2.93-2.94
Cd 0.8755 0.3748 0.3748  6 Cd 2.93-2.94
Cd 0.3748 0.8755 0.3748  6 Cd 2.93-2.94
La 0.7500 0.7500 0.7500  12 Cd 3.45, 4 Y 3.60

Summary:
Space-group type: No. 216
Formation energy from the elements (eV per atom): -0.4119

=====

No. 5
Here is K2ZrOs at its PBEsol-relaxed geometry from the Alexandria database. Energies are from meta-GGA SCAN.

a = 3.9227 Å, b = 3.9227 Å, c = 6.0350 Å
α = 90.00°, β = 90.00°, γ = 90.00°
Closest atoms and distances in Å follow each position.
Atoms (fractional coordinates):
Os 0.5000 0.5000 0.5000  4 Zr 2.77
K 0.0000 0.5000 0.0000  4 K 2.77
K 0.5000 0.0000 0.0000  4 K 2.77
Zr 0.0000 0.0000 0.5000  4 Os 2.77

Summary:
Space-group type: No. 123
Formation energy from the elements (eV per atom): 0.9336

=====

No. 6
Here is Rh7W at its PBEsol-relaxed geometry from the Alexandria database. Energies are from meta-GGA SCAN.

a = 5.3669 Å, b = 5.3669 Å, c = 5.3669 Å
α = 60.00°, β = 60.00°, γ = 60.00°
Closest atoms and distances in Å follow each position.
Atoms (fractional coordinates):
Rh 0.0000 0.5000 0.0000  10 Rh 2.68, 2 W 2.68
Rh 0.5000 0.5000 0.0000  10 Rh 2.68, 2 W 2.68
Rh 0.5000 0.0000 0.0000  10 Rh 2.68, 2 W 2.68
Rh 0.5000 0.5000 0.5000  12 Rh 2.68
Rh 0.0000 0.0000 0.5000  10 Rh 2.68, 2 W 2.68
Rh 0.5000 0.0000 0.5000  2 W 2.68, 10 Rh 2.68
Rh 0.0000 0.5000 0.5000  10 Rh 2.68, 2 W 2.68
W 0.0000 0.0000 0.0000  12 Rh 2.68

Summary:
Space-group type: No. 225
Formation energy from the elements (eV per atom): -0.1108

=====

No. 7
Here is Sc2InSb at its PBEsol-relaxed geometry from the Alexandria database. Energies are from meta-GGA SCAN.

a = 4.0859 Å, b = 4.1761 Å, c = 5.7608 Å
α = 111.28°, β = 90.00°, γ = 90.00°
Closest atoms and distances in Å follow each position.
Atoms (fractional coordinates):
Sc 0.0000 0.0069 0.8888  1 In 2.85, 4 Sb 2.94
Sc 0.5000 0.7469 0.3687  3 Sb 2.93-3.21, 4 In 2.93
Sb 0.5000 0.4737 0.8229  7 Sc 2.93-3.21, 2 In 2.98
In 0.0000 0.2725 0.4196  5 Sc 2.85-2.93, 2 Sb 2.98

Summary:
Energy relative to the elements, uncorrected (kJ/mol of formula units): -272
Space-group type: No. 38
Polymorph energy (0 for the lowest one) (meV per atom): 1.2

=====

No. 8
Here is Na2CuTcN at its PBEsol-relaxed geometry from the Alexandria database. Energies are from meta-GGA SCAN.

a = 3.3957 Å, b = 5.4240 Å, c = 5.4240 Å
α = 90.00°, β = 90.00°, γ = 90.00°
Closest atoms and distances in Å follow each position.
Atoms (fractional coordinates):
Cu 0.0000 0.0000 0.0000  2 N 1.70
Tc 0.5000 0.5000 0.5000  8 Na 3.20, 2 Tc 3.40
Na 0.0000 0.5000 0.0000  2 Cu 2.71
Na 0.0000 0.0000 0.5000  2 Cu 2.71
N 0.5000 0.0000 0.0000  2 Cu 1.70

Summary:
Energy relative to the elements, uncorrected (kJ/mol of formula units): 521
Space-group type: No. 123

=====

No. 9
Here is ReHgW at its PBEsol-relaxed geometry from the Alexandria database. Energies are from meta-GGA SCAN.

a = 2.8212 Å, b = 4.0397 Å, c = 4.9330 Å
α = 114.17°, β = 106.62°, γ = 90.00°
Closest atoms and distances in Å follow each position.
Atoms (fractional coordinates):
W 0.3259 0.3259 0.6517  5 Hg 2.78-2.88, 5 Re 2.79-2.97, 2 W 2.82
Hg 0.0005 0.0005 0.0010  5 W 2.78-2.88, 5 Re 2.79-2.87, 2 Hg 2.82
Re 0.6736 0.6736 0.3473  5 W 2.79-2.97, 5 Hg 2.79-2.87, 2 Re 2.82

Summary:
Space-group type: No. 44
Polymorph energy (0 for the lowest one) (meV per atom): 0.0
Formation energy from the elements (eV per atom): 0.7081

=====

No. 10
Here is Cd2TcBrF at its PBEsol-relaxed geometry from the Alexandria database. Energies are from meta-GGA SCAN.

a = 4.5263 Å, b = 5.2516 Å, c = 5.2516 Å
α = 90.00°, β = 90.00°, γ = 90.00°
Closest atoms and distances in Å follow each position.
Atoms (fractional coordinates):
Cd 0.0000 0.0000 0.5000  2 Tc 2.63
Cd 0.0000 0.5000 0.0000  2 Tc 2.63
F 0.5000 0.5000 0.5000  8 Cd 3.47, 4 Br 3.71
Tc 0.0000 0.0000 0.0000  2 Br 2.26
Br 0.5000 0.0000 0.0000  2 Tc 2.26

Summary:
Energy relative to the elements, uncorrected (kJ/mol of formula units): 85
Space-group type: No. 123

=====

No. 11
Here is Be3Co at its PBEsol-relaxed geometry from the Alexandria database. Energies are from meta-GGA SCAN.

a = 3.5842 Å, b = 3.5842 Å, c = 3.5842 Å
α = 60.00°, β = 60.00°, γ = 60.00°
Closest atoms and distances in Å follow each position.
Atoms (fractional coordinates):
Be 0.7500 0.7500 0.7500  4 Be 2.19, 4 Co 2.19
Be 0.2500 0.2500 0.2500  4 Co 2.19, 4 Be 2.19
Be 0.5000 0.5000 0.5000  8 Be 2.19
Co 0.0000 0.0000 0.0000  8 Be 2.19

Summary:
Space-group type: No. 225
Formation energy from the elements (eV per atom): -0.1859

=====

No. 12
Here is CaMn2Fe at its PBEsol-relaxed geometry from the Alexandria database. Energies are from meta-GGA SCAN.

a = 2.9622 Å, b = 2.9786 Å, c = 7.7438 Å
α = 90.00°, β = 112.53°, γ = 90.00°
Closest atoms and distances in Å follow each position.
Atoms (fractional coordinates):
Mn 0.3236 0.0000 0.3235  4 Fe 2.45, 1 Mn 2.52
Mn 0.6764 0.0000 0.6765  4 Fe 2.45, 1 Mn 2.52
Fe 0.0000 0.5000 0.5000  8 Mn 2.45
Ca 0.5000 0.5000 0.0000  4 Ca 2.96-2.98, 8 Mn 3.12-3.13

Summary:
Space-group type: No. 47
Polymorph energy (0 for the lowest one) (meV per atom): 0.0
Formation energy from the elements (eV per atom): 0.2705

=====

| no. | V (Å³/f.u.) | electronic total energy (eV/atom) |
| --- | --- | --- |
| 1 | 101.3 | -26.488 |
| 2 | 60.6 | -29.372 |
| 3 | 118.9 | -47.395 |
| 4 | 143.5 | -32.513 |
| 5 | 92.9 | -28.875 |
| 6 | 109.3 | -38.372 |
| 7 | 91.6 | -25.484 |
| 8 | 99.9 | -12.515 |
| 9 | 48.7 | -68.942 |
| 10 | 124.8 | -23.602 |
| 11 | 32.6 | -7.777 |
| 12 | 63.1 | -15.805 |